No. 1
# SbH2Br2Cl2

A relaxed SbH2Br2Cl2 crystal (PBE, the Alexandria database).

```
7
Lattice="7.174 -1.820 0.000 7.174 1.820 0.000 -5.712 0.000 7.479" Properties=species:S:1:pos:R:3 pbc="T T T"
Sb 0.000 0.000 0.000
H 2.769 0.000 5.093
H 5.868 0.000 2.386
Br -0.404 0.000 6.452
Br 9.041 0.000 1.027
Cl -1.309 0.000 2.385
Cl 9.946 0.000 5.094
```

Calculated values
total energy: -2.671 eV per atom
DOS(E_F): 0.13 states/eV/atom
ρ: 3.0 Mg/m³
space group: C2/m, No. 12

No. 2
# HSe2BrCl

A relaxed HSe2BrCl crystal (PBE, the Alexandria database).

```
5
Lattice="3.927 0.000 0.000 0.000 3.927 0.000 0.000 0.000 8.284" Properties=species:S:1:pos:R:3 pbc="T T T"
H 0.000 0.000 0.000
Se 0.000 1.963 0.000
Se 1.963 0.000 0.000
Br 0.000 0.000 4.142
Cl 1.963 1.963 4.142
```

Calculated values
total energy: -2.317 eV per atom
DOS(E_F): 0.51 states/eV/atom
ρ: 3.6 Mg/m³
space group: P4/mmm, No. 123

No. 3
# HSe2BrCl

A relaxed HSe2BrCl crystal (PBE, the Alexandria database).

```
5
Lattice="4.935 0.000 0.000 0.000 4.935 0.000 0.000 0.000 6.501" Properties=species:S:1:pos:R:3 pbc="T T T"
H 0.000 0.000 0.000
Se 0.000 2.467 3.250
Se 2.467 0.000 3.250
Br 2.467 2.467 0.000
Cl 2.467 2.467 3.250
```

Calculated values
total energy: -1.577 eV per atom
DOS(E_F): 1.20 states/eV/atom
ρ: 2.9 Mg/m³
space group: P4/mmm, No. 123

No. 4
# TcHBrCl6

A relaxed TcHBrCl6 crystal (PBE, the Alexandria database).

```
9
Lattice="6.380 0.000 0.000 3.171 5.972 0.000 1.757 -0.038 7.479" Properties=species:S:1:pos:R:3 pbc="T T T"
Tc 0.000 0.000 0.000
H 3.275 0.081 0.216
Br 7.186 1.687 3.779
Cl 4.069 4.423 6.024
Cl 3.917 4.488 1.548
Cl 3.794 0.055 6.334
Cl 4.198 0.055 1.264
Cl 7.230 1.837 6.189
Cl 7.135 1.898 1.373
```

Calculated values
total energy: -3.418 eV per atom
ρ: 2.3 Mg/m³
space group: P1, No. 1

No. 5
# Te2HBrCl

A relaxed Te2HBrCl crystal (PBE, the Alexandria database).

```
5
Lattice="8.312 0.000 0.000 0.000 8.312 0.000 0.000 0.000 2.847" Properties=species:S:1:pos:R:3 pbc="T T T"
Te 0.000 4.156 0.000
Te 4.156 0.000 0.000
H 0.000 0.000 1.424
Br 4.156 4.156 1.424
Cl 0.000 0.000 0.000
```

Calculated values
total energy: -2.396 eV per atom
DOS(E_F): 0.58 states/eV/atom
ρ: 3.1 Mg/m³
space group: P4/mmm, No. 123

No. 6
# Te2HBrCl

A relaxed Te2HBrCl crystal (PBE, the Alexandria database).

```
5
Lattice="6.394 0.000 0.000 0.000 6.394 0.000 0.000 0.000 3.306" Properties=species:S:1:pos:R:3 pbc="T T T"
Te 0.000 3.197 0.000
Te 3.197 0.000 0.000
H 0.000 0.000 1.653
Br 0.000 0.000 0.000
Cl 3.197 3.197 1.653
```

Calculated values
total energy: -2.068 eV per atom
DOS(E_F): 1.00 states/eV/atom
ρ: 4.6 Mg/m³
space group: P4/mmm, No. 123

No. 7
# ThHBrCl

A relaxed ThHBrCl crystal (PBE, the Alexandria database).

```
4
Lattice="3.536 0.000 0.000 0.000 3.538 0.000 -1.759 0.000 8.148" Properties=species:S:1:pos:R:3 pbc="T T T"
Th 0.000 0.000 0.000
H 1.768 1.769 0.618
Br 0.009 1.769 6.122
Cl -0.001 0.000 2.524
```

Calculated values
total energy: -4.651 eV per atom
DOS(E_F): 0.40 states/eV/atom
ρ: 5.7 Mg/m³
space group: Pm, No. 6

No. 8
# U2HBr2Cl4

A relaxed U2HBr2Cl4 crystal (PBE, the Alexandria database).

```
9
Lattice="5.462 0.000 0.000 -0.020 8.137 0.000 -2.722 -4.059 7.145" Properties=species:S:1:pos:R:3 pbc="T T T"
U 0.004 2.189 0.001
U 2.715 1.889 7.144
H -0.010 4.068 0.000
Br -0.007 0.000 1.917
Br 2.726 4.078 5.228
Cl -0.007 4.068 2.174
Cl -0.014 1.892 7.144
Cl 2.733 2.186 0.001
Cl 2.727 0.010 4.971
```

Calculated values
total energy: -5.297 eV per atom
DOS(E_F): 1.56 states/eV/atom
ρ: 4.1 Mg/m³
space group: P-1, No. 2

Among the records above, which one has the highest ρ? ThHBrCl

Among the records above, which one has the highest ρ? ThHBrCl

Which of these has the lowest ρ? TcHBrCl6

Among the records above, which one has the highest total energy? number 3